CaVP4O12 | Alexandria | PBE with a Hubbard U | relaxed; energy = -7.36 eV/atom
1.0
6.226 -4.404 0.000
6.226 4.404 0.000
-4.920 0.000 9.039
Ca V P O
2 2 8 24
Cartesian
2.537 3.989 6.779
4.996 -3.989 2.260
0.653 2.202 4.519
3.113 -2.202 0.000
6.047 1.962 0.251
3.946 1.962 4.268
-0.110 0.058 7.306
2.350 -0.058 2.787
5.183 0.058 6.251
7.643 -0.058 1.732
3.587 -1.962 4.770
1.486 -1.962 8.788
5.376 3.172 0.779
1.030 0.665 2.996
4.617 3.172 3.741
0.115 0.738 6.009
2.740 2.147 5.178
0.006 1.082 8.546
-1.430 -0.665 7.516
3.548 0.997 3.030
2.333 2.147 8.380
2.575 -0.738 1.490
6.444 0.997 1.489
2.465 -1.082 4.026
5.068 1.082 5.012
1.089 -0.997 7.549
4.958 0.738 7.549
5.200 -2.147 0.658
3.985 -0.997 6.009
8.963 0.665 1.523
7.527 -1.082 0.493
4.793 -2.147 3.861
7.418 -0.738 3.029
2.916 -3.172 5.298
6.503 -0.665 6.042
2.157 -3.172 8.260